1.
VASP calculation (PBE-GGA) on a geometry-optimized La3PrOs structure.

Calculated values
Its density of states at the Fermi level is 1.52 states/eV per atom. The raw total energy is -6.14 eV/atom. The formation energy comes out at 1.9 kJ per mole of atoms.

Cell lengths 5.6855, 5.6855, 5.6855 Å; angles 90.00, 90.00, 90.00 degrees
Fractional coordinates of all 5 atoms:
La1 0.0000 0.0000 0.5000
La2 0.0000 0.5000 0.0000
La3 0.5000 0.0000 0.0000
Pr1 0.5000 0.5000 0.5000
Os1 0.0000 0.0000 0.0000


2.
VASP calculation (PBE-GGA) on a geometry-optimized La3PrTlOs structure.

Calculated values
Its density of states at the Fermi level is 0.91 states/eV per atom. The raw total energy is -5.76 eV/atom. The formation energy comes out at -23.0 kJ per mole of atoms.

Cell lengths 9.0451, 9.0451, 6.2714 Å; angles 107.79, 107.79, 51.35 degrees
Fractional coordinates of all 12 atoms:
La1 0.1233 0.6399 0.8986
La2 0.1729 0.1729 0.6465
La3 0.3601 0.8767 0.1014
La4 0.6399 0.1233 0.8986
La5 0.8271 0.8271 0.3535
La6 0.8767 0.3601 0.1014
Pr1 0.3059 0.6941 0.5000
Pr2 0.6941 0.3059 0.5000
Tl1 0.3034 0.3034 0.2967
Tl2 0.6966 0.6966 0.7033
Os1 0.0005 0.0005 0.2421
Os2 0.9995 0.9995 0.7579


3.
VASP calculation (PBE-GGA) on a geometry-optimized LaPrZnOs structure.

Calculated values
Its density of states at the Fermi level is 1.22 states/eV per atom. The raw total energy is -5.64 eV/atom. The formation energy comes out at -8.7 kJ per mole of atoms.

Cell lengths 5.1377, 5.1377, 5.1377 Å; angles 60.00, 60.00, 60.00 degrees
Fractional coordinates of all 4 atoms:
La1 0.0000 0.0000 0.0000
Pr1 0.5000 0.5000 0.5000
Zn1 0.7500 0.7500 0.7500
Os1 0.2500 0.2500 0.2500